# AcDy2Y6Er3 | Alexandria via LeMat-Bulk | GGA-PBE | relaxed
data_AcDy2Y6Er3
_chemical_formula_sum 'Ac2 Dy4 Y12 Er6'
_space_group_name_H-M_alt 'C 1 2/m 1'
_space_group_IT_number 12
_cell_length_a 6.2151
_cell_length_b 10.7567
_cell_length_c 11.8731
_cell_angle_alpha 90.00
_cell_angle_beta 100.02
_cell_angle_gamma 90.00
loop_
_space_group_symop_operation_xyz
'x,y,z'
'-x,-y,-z'
'-x,y,-z'
'x,-y,z'
'x+1/2,y+1/2,z'
'-x+1/2,-y+1/2,-z'
'-x+1/2,y+1/2,-z'
'x+1/2,-y+1/2,z'
loop_
_atom_site_label
_atom_site_type_symbol
_atom_site_fract_x
_atom_site_fract_y
_atom_site_fract_z
Ac1 Ac 0.0000 0.0000 0.0000
Dy1 Dy 0.0000 0.3334 0.0000
Y1 Y 0.2460 0.3319 0.7449
Y2 Y 0.2504 0.0000 0.7446
Er1 Er 0.0000 0.1671 0.5000
Er2 Er 0.0000 0.5000 0.5000
# DOS(E_F)   1.446 states/eV per atom
# E_form   3.35 kJ per mole of atoms